MnP2O7 | PBE with a Hubbard U | relaxed Values from VASP.

Calculated values
The value obtained for the total energy is -7.1840 eV/atom. Its theoretical density is 2.99 g/cm3.

Cell and atoms, written as Quantum ESPRESSO input:
```
&SYSTEM
  ibrav = 0, nat = 20, ntyp = 3
/
ATOMIC_SPECIES
Mn 54.94 Mn.upf
P 30.97 P.upf
O 16.00 O.upf
CELL_PARAMETERS angstrom
4.922 -0.046 -0.039
0.122 6.724 0.086
0.142 3.124 7.721
ATOMIC_POSITIONS crystal
Mn 0.754 0.776 0.262
Mn 0.246 0.224 0.738
P 0.265 0.441 0.324
P 0.735 0.559 0.676
P 0.251 0.103 0.159
P 0.749 0.897 0.841
O 0.560 0.508 0.335
O 0.950 0.043 0.190
O 0.050 0.957 0.810
O 0.078 0.634 0.231
O 0.157 0.281 0.499
O 0.277 0.320 0.194
O 0.349 0.175 0.971
O 0.440 0.492 0.665
O 0.843 0.719 0.501
O 0.561 0.067 0.713
O 0.439 0.933 0.287
O 0.651 0.825 0.029
O 0.723 0.680 0.806
O 0.922 0.366 0.769
```